## Ce5TlRu (PBE-GGA)

Data for a relaxed structure of Ce5TlRu.

Cell lengths 4.963, 4.963, 7.608 Å; angles 90.00, 90.00, 90.00 degrees
Fractional positions:
Ce (0.000, 0.000, 0.000)
Ce (0.000, 0.500, 0.300)
Ce (0.000, 0.500, 0.700)
Ce (0.500, 0.000, 0.300)
Ce (0.500, 0.000, 0.700)
Tl (0.500, 0.500, 0.000)
Ru (0.000, 0.000, 0.500)

The density of states at the Fermi level is 18.62 states/eV per cell. Its size of the total moment is 4.44 μB per cell. The calculation puts the formation energy at -145 meV per atom. Its symmetry is P4/mmm, No. 123. The value obtained for the calculated total energy is -6.047 eV per atom. For the volume, the calculation gives 26.77 Å³/atom. The calculation puts the distance to the lowest polymorph of the same formula at 0.000 eV per atom.


## Ce2TlRu (PBE-GGA)

Data for a relaxed structure of Ce2TlRu.

Cell lengths 3.944, 3.944, 24.812 Å; angles 90.00, 90.00, 120.00 degrees
Fractional positions:
Ce (0.000, 0.000, 0.000)
Ce (0.000, 0.000, 0.207)
Ce (0.333, 0.667, 0.667)
Ce (0.333, 0.667, 0.873)
Ce (0.667, 0.333, 0.333)
Ce (0.667, 0.333, 0.540)
Tl (0.000, 0.000, 0.436)
Tl (0.333, 0.667, 0.102)
Tl (0.667, 0.333, 0.769)
Ru (0.000, 0.000, 0.606)
Ru (0.333, 0.667, 0.272)
Ru (0.667, 0.333, 0.939)

The density of states at the Fermi level is 25.86 states/eV per cell. Its size of the total moment is 2.74 μB per cell. The calculation puts the formation energy at -221 meV per atom. Its symmetry is R3m, No. 160. The value obtained for the calculated total energy is -6.099 eV per atom. For the volume, the calculation gives 27.86 Å³/atom. The calculation puts the distance to the lowest polymorph of the same formula at 0.091 eV per atom.


## Ce3TlRu3 (PBE-GGA)

Data for a relaxed structure of Ce3TlRu3.

Cell lengths 7.120, 7.120, 7.120 Å; angles 76.21, 76.21, 76.21 degrees
Fractional positions:
Ce (0.135, 0.816, 0.374)
Ce (0.184, 0.626, 0.865)
Ce (0.374, 0.135, 0.816)
Ce (0.626, 0.865, 0.184)
Ce (0.816, 0.374, 0.135)
Ce (0.865, 0.184, 0.626)
Tl (0.334, 0.334, 0.334)
Tl (0.666, 0.666, 0.666)
Ru (0.059, 0.451, 0.699)
Ru (0.301, 0.941, 0.549)
Ru (0.451, 0.699, 0.059)
Ru (0.549, 0.301, 0.941)
Ru (0.699, 0.059, 0.451)
Ru (0.941, 0.549, 0.301)

The density of states at the Fermi level is 13.17 states/eV per cell. Its size of the total moment is 0.00 μB per cell. The calculation puts the formation energy at -234 meV per atom. Its symmetry is R-3, No. 148. The value obtained for the calculated total energy is -7.090 eV per atom. For the volume, the calculation gives 23.86 Å³/atom.


## Ce2TlRu2 (PBE-GGA)

Data for a relaxed structure of Ce2TlRu2.

Cell lengths 7.669, 7.669, 5.646 Å; angles 100.52, 100.52, 125.91 degrees
Fractional positions:
Ce (0.092, 0.908, 0.750)
Ce (0.299, 0.701, 0.250)
Ce (0.701, 0.299, 0.750)
Ce (0.908, 0.092, 0.250)
Tl (0.442, 0.558, 0.750)
Tl (0.558, 0.442, 0.250)
Ru (0.087, 0.299, 0.961)
Ru (0.299, 0.087, 0.461)
Ru (0.701, 0.913, 0.539)
Ru (0.913, 0.701, 0.039)

The density of states at the Fermi level is 8.61 states/eV per cell. Its size of the total moment is 0.30 μB per cell. The calculation puts the formation energy at -173 meV per atom. Its symmetry is C2/c, No. 15. The value obtained for the calculated total energy is -6.730 eV per atom. For the volume, the calculation gives 24.63 Å³/atom.


## Ce7TlRu2 (PBE-GGA)

Data for a relaxed structure of Ce7TlRu2.

Cell lengths 7.912, 7.912, 5.233 Å; angles 90.00, 90.00, 112.14 degrees
Fractional positions:
Ce (0.000, 0.000, 0.000)
Ce (0.214, 0.786, 0.500)
Ce (0.218, 0.444, 0.000)
Ce (0.444, 0.218, 0.000)
Ce (0.556, 0.782, 0.000)
Ce (0.782, 0.556, 0.000)
Ce (0.786, 0.214, 0.500)
Tl (0.500, 0.500, 0.500)
Ru (0.187, 0.813, 0.000)
Ru (0.813, 0.187, 0.000)

The density of states at the Fermi level is 30.99 states/eV per cell. Its size of the total moment is 4.91 μB per cell. The calculation puts the formation energy at -33 meV per atom. Its symmetry is Cmmm, No. 65. The value obtained for the calculated total energy is -6.278 eV per atom. For the volume, the calculation gives 30.34 Å³/atom.


## Ce5TlRu (PBE-GGA)

Data for a relaxed structure of Ce5TlRu.

Cell lengths 7.279, 7.279, 9.192 Å; angles 108.53, 108.53, 52.79 degrees
Fractional positions:
Ce (0.212, 0.215, 0.106)
Ce (0.215, 0.212, 0.606)
Ce (0.232, 0.768, 0.750)
Ce (0.350, 0.371, 0.433)
Ce (0.371, 0.350, 0.933)
Ce (0.629, 0.650, 0.067)
Ce (0.650, 0.629, 0.567)
Ce (0.768, 0.232, 0.250)
Ce (0.785, 0.788, 0.394)
Ce (0.788, 0.785, 0.894)
Tl (0.260, 0.740, 0.250)
Tl (0.740, 0.260, 0.750)
Ru (0.000, 0.000, 0.000)
Ru (0.000, 0.000, 0.500)

The density of states at the Fermi level is 36.82 states/eV per cell. Its size of the total moment is 3.94 μB per cell. The calculation puts the formation energy at -35 meV per atom. Its symmetry is C2/c, No. 15. The value obtained for the calculated total energy is -5.937 eV per atom. For the volume, the calculation gives 25.90 Å³/atom. The calculation puts the distance to the lowest polymorph of the same formula at 0.110 eV per atom.


## Ce5TlRu3 (PBE-GGA)

Data for a relaxed structure of Ce5TlRu3.

Cell lengths 8.088, 8.088, 6.617 Å; angles 90.00, 90.00, 88.71 degrees
Fractional positions:
Ce (0.131, 0.545, 0.250)
Ce (0.168, 0.168, 0.000)
Ce (0.168, 0.168, 0.500)
Ce (0.231, 0.769, 0.750)
Ce (0.455, 0.869, 0.250)
Ce (0.545, 0.131, 0.750)
Ce (0.769, 0.231, 0.250)
Ce (0.832, 0.832, 0.000)
Ce (0.832, 0.832, 0.500)
Ce (0.869, 0.455, 0.750)
Tl (0.500, 0.500, 0.000)
Tl (0.500, 0.500, 0.500)
Ru (0.126, 0.874, 0.250)
Ru (0.199, 0.450, 0.750)
Ru (0.450, 0.199, 0.250)
Ru (0.550, 0.801, 0.750)
Ru (0.801, 0.550, 0.250)
Ru (0.874, 0.126, 0.750)

The density of states at the Fermi level is 40.10 states/eV per cell. Its size of the total moment is 4.04 μB per cell. The calculation puts the formation energy at -231 meV per atom. Its symmetry is Cmcm, No. 63. The value obtained for the calculated total energy is -6.882 eV per atom. For the volume, the calculation gives 24.04 Å³/atom.


## Ce4Tl3Ru2 (PBE-GGA)

Data for a relaxed structure of Ce4Tl3Ru2.

Cell lengths 8.940, 8.940, 6.849 Å; angles 90.84, 90.84, 59.85 degrees
Fractional positions:
Ce (0.114, 0.696, 0.868)
Ce (0.232, 0.343, 0.468)
Ce (0.304, 0.886, 0.632)
Ce (0.343, 0.232, 0.968)
Ce (0.657, 0.768, 0.032)
Ce (0.696, 0.114, 0.368)
Ce (0.768, 0.657, 0.532)
Ce (0.886, 0.304, 0.132)
Tl (0.070, 0.765, 0.380)
Tl (0.235, 0.930, 0.120)
Tl (0.469, 0.531, 0.250)
Tl (0.531, 0.469, 0.750)
Tl (0.765, 0.070, 0.880)
Tl (0.930, 0.235, 0.620)
Ru (0.039, 0.452, 0.811)
Ru (0.452, 0.039, 0.311)
Ru (0.548, 0.961, 0.689)
Ru (0.961, 0.548, 0.189)

The density of states at the Fermi level is 36.89 states/eV per cell. Its size of the total moment is 3.50 μB per cell. The calculation puts the formation energy at -244 meV per atom. Its symmetry is C2/c, No. 15. The value obtained for the calculated total energy is -5.731 eV per atom. For the volume, the calculation gives 26.30 Å³/atom.


- Number 8 is which compound?
  Ce4Tl3Ru2


- Look up the size of the total moment of the fourth one.
  0.30 μB per cell


- Which value of size of the total moment does entry 5 give?
  4.91 μB per cell


Copy entry 6 word for word.
## Ce5TlRu (PBE-GGA)

Data for a relaxed structure of Ce5TlRu.

Cell lengths 7.279, 7.279, 9.192 Å; angles 108.53, 108.53, 52.79 degrees
Fractional positions:
Ce (0.212, 0.215, 0.106)
Ce (0.215, 0.212, 0.606)
Ce (0.232, 0.768, 0.750)
Ce (0.350, 0.371, 0.433)
Ce (0.371, 0.350, 0.933)
Ce (0.629, 0.650, 0.067)
Ce (0.650, 0.629, 0.567)
Ce (0.768, 0.232, 0.250)
Ce (0.785, 0.788, 0.394)
Ce (0.788, 0.785, 0.894)
Tl (0.260, 0.740, 0.250)
Tl (0.740, 0.260, 0.750)
Ru (0.000, 0.000, 0.000)
Ru (0.000, 0.000, 0.500)

The density of states at the Fermi level is 36.82 states/eV per cell. Its size of the total moment is 3.94 μB per cell. The calculation puts the formation energy at -35 meV per atom. Its symmetry is C2/c, No. 15. The value obtained for the calculated total energy is -5.937 eV per atom. For the volume, the calculation gives 25.90 Å³/atom. The calculation puts the distance to the lowest polymorph of the same formula at 0.110 eV per atom.